# CsVF3 GGA+U relaxed
data_CsVF3
_cell_length_a 8.093
_cell_length_b 8.093
_cell_length_c 8.093
_cell_angle_alpha 60.00
_cell_angle_beta 60.00
_cell_angle_gamma 60.00
_space_group_name_H-M_alt 'P 1'
_space_group_IT_number 1
loop_
_space_group_symop_operation_xyz
'x,y,z'
loop_
_atom_site_label
_atom_site_fract_x
_atom_site_fract_y
_atom_site_fract_z
_atom_site_occupancy
F1 0.440 0.060 0.440 1
F2 0.060 0.060 0.440 1
F3 0.190 0.190 0.810 1
F4 0.810 0.190 0.190 1
F5 0.060 0.440 0.440 1
F6 0.810 0.810 0.190 1
F7 0.060 0.440 0.060 1
F8 0.190 0.810 0.190 1
F9 0.440 0.440 0.060 1
F10 0.440 0.060 0.060 1
F11 0.190 0.810 0.810 1
F12 0.810 0.190 0.810 1
Cs1 0.125 0.625 0.625 1
Cs2 0.625 0.125 0.625 1
Cs3 0.625 0.625 0.625 1
Cs4 0.625 0.625 0.125 1
V1 0.125 0.125 0.125 1
V2 0.125 0.625 0.125 1
V3 0.625 0.125 0.125 1
V4 0.125 0.125 0.625 1
# Space-group type   Fd-3m, No. 227
# V   374.84 Å³/cell
# Mass density   4.3 Mg/m³
# Raw total energy   -108.83 eV/cell